## Pr2Mg2Si4Pd (PBE)

Data for Pr2Mg2Si4Pd after structural relaxation.

Structure (POSCAR):
```
Pr2Mg2Si4Pd
1.0
-3.137 3.137 4.516
3.137 -3.137 4.516
3.137 3.137 -4.516
Pr Mg Si Pd
2 2 4 1
Direct
0.250 0.750 0.500 Pr
0.750 0.250 0.500 Pr
0.217 0.217 0.000 Mg
0.783 0.783 0.000 Mg
0.210 0.210 0.420 Si
0.210 0.790 0.000 Si
0.790 0.210 0.000 Si
0.790 0.790 0.580 Si
0.500 0.500 0.000 Pd
```

Computed properties:
The total DFT energy (no corrections) is -4.84 eV per atom. The formation energy without anion corrections is -437 meV per atom. Its space group is I4/mmm (139).